[1]
Entry from Alexandria: a relaxed structure of HfV2SbW (PBE).

Lattice parameters (Å, degrees): 4.5861 5.1931 4.5861 90.00 90.00 90.00
With the nearest neighbours (Å) after each atom.
Element x y z (fractional)
1 Sb 0.5000 0.5000 0.5000  4 Hf 3.24, 8 V 3.46
2 Hf 0.0000 0.5000 0.0000  2 W 2.60
3 W 0.0000 0.0000 0.0000  4 V 2.29
4 V 0.0000 0.0000 0.5000  2 W 2.29
5 V 0.5000 0.0000 0.0000  2 W 2.29

Electronic total energy (eV/cell): -40.22
ΔE_f (raw) (eV/atom): 1.0086



[2]
Entry from Alexandria: a relaxed structure of YHfVSb2 (PBE).

Lattice parameters (Å, degrees): 5.1174 4.9491 5.1174 90.00 90.00 90.00
With the nearest neighbours (Å) after each atom.
Element x y z (fractional)
1 Y 0.0000 0.5000 0.0000  2 V 2.47
2 Sb 0.0000 0.0000 0.5000  2 V 2.56
3 Sb 0.5000 0.0000 0.0000  2 V 2.56
4 Hf 0.5000 0.5000 0.5000  8 Sb 3.56, 4 Y 3.62
5 V 0.0000 0.0000 0.0000  2 Y 2.47, 4 Sb 2.56

Electronic total energy (eV/cell): -31.21
ΔE_f (raw) (eV/atom): 0.5132



[3]
Entry from Alexandria: a relaxed structure of HfSbW3 (PBE).

Lattice parameters (Å, degrees): 4.8503 4.8503 4.8503 90.00 90.00 90.00
With the nearest neighbours (Å) after each atom.
Element x y z (fractional)
1 Sb 0.0000 0.0000 0.0000  6 W 2.43
2 Hf 0.5000 0.5000 0.5000  12 W 3.43
3 W 0.0000 0.5000 0.0000  2 Sb 2.43
4 W 0.0000 0.0000 0.5000  2 Sb 2.43
5 W 0.5000 0.0000 0.0000  2 Sb 2.43

Electronic total energy (eV/cell): -42.25
Distance to the lowest polymorph of the same formula (meV/atom): 0
ΔE_f (raw) (eV/atom): 2.1375



[4]
Entry from Alexandria: a relaxed structure of HfSbW3 (PBE).

Lattice parameters (Å, degrees): 4.8697 4.8697 4.8697 90.00 90.00 90.00
With the nearest neighbours (Å) after each atom.
Element x y z (fractional)
1 Sb 0.5000 0.5000 0.5000  12 W 3.44
2 Hf 0.0000 0.0000 0.0000  6 W 2.43
3 W 0.0000 0.5000 0.0000  2 Hf 2.43
4 W 0.0000 0.0000 0.5000  2 Hf 2.43
5 W 0.5000 0.0000 0.0000  2 Hf 2.43

Electronic total energy (eV/cell): -40.92
Distance to the lowest polymorph of the same formula (meV/atom): 265
ΔE_f (raw) (eV/atom): 2.4027



[5]
Entry from Alexandria: a relaxed structure of Hf2SbW (PBE).

Lattice parameters (Å, degrees): 3.0452 3.0452 10.7290 81.84 81.84 60.00
With the nearest neighbours (Å) after each atom.
Element x y z (fractional)
1 Sb 0.5000 0.5000 0.5000  6 Sb 3.05, 6 Hf 3.13
2 Hf 0.0851 0.0851 0.7447  1 W 2.70
3 Hf 0.9149 0.9149 0.2553  1 W 2.70
4 W 0.0000 0.0000 0.0000  2 Hf 2.70

Electronic total energy (eV/cell): -34.95
ΔE_f (raw) (eV/atom): 0.5092



[6]
Entry from Alexandria: a relaxed structure of HfSbW (PBE).

Lattice parameters (Å, degrees): 3.4695 3.4695 10.6053 90.00 90.00 90.00
With the nearest neighbours (Å) after each atom.
Element x y z (fractional)
1 Sb 0.0000 0.5000 0.6302  4 Hf 2.93, 1 W 3.19
2 Sb 0.5000 0.0000 0.3698  4 Hf 2.93, 1 W 3.19
3 Hf 0.5000 0.0000 0.7813  5 W 2.92-3.06, 4 Sb 2.93
4 Hf 0.0000 0.5000 0.2187  5 W 2.92-3.06, 4 Sb 2.93
5 W 0.0000 0.5000 0.9306  4 W 2.86, 5 Hf 2.92-3.06, 1 Sb 3.19
6 W 0.5000 0.0000 0.0694  4 W 2.86, 5 Hf 2.92-3.06, 1 Sb 3.19

Electronic total energy (eV/cell): -54.60
ΔE_f (raw) (eV/atom): -0.0904



[7]
Entry from Alexandria: a relaxed structure of HfSb3W (PBE).

Lattice parameters (Å, degrees): 5.2293 5.2293 5.2293 90.00 90.00 90.00
With the nearest neighbours (Å) after each atom.
Element x y z (fractional)
1 Sb 0.0000 0.5000 0.0000  2 W 2.61
2 Sb 0.0000 0.0000 0.5000  2 W 2.61
3 Sb 0.5000 0.0000 0.0000  2 W 2.61
4 Hf 0.5000 0.5000 0.5000  12 Sb 3.70
5 W 0.0000 0.0000 0.0000  6 Sb 2.61

Electronic total energy (eV/cell): -30.08
Distance to the lowest polymorph of the same formula (meV/atom): 0
ΔE_f (raw) (eV/atom): 1.0386



[8]
Entry from Alexandria: a relaxed structure of HfSb2W (PBE).

Lattice parameters (Å, degrees): 4.8462 4.8462 4.8462 60.00 60.00 60.00
With the nearest neighbours (Å) after each atom.
Element x y z (fractional)
1 Sb 0.2500 0.2500 0.2500  4 W 2.97, 4 Hf 2.97
2 Sb 0.7500 0.7500 0.7500  4 W 2.97, 4 Hf 2.97
3 Hf 0.0000 0.0000 0.0000  8 Sb 2.97
4 W 0.5000 0.5000 0.5000  8 Sb 2.97

Electronic total energy (eV/cell): -30.60
Distance to the lowest polymorph of the same formula (meV/atom): 0
ΔE_f (raw) (eV/atom): 0.1368



[9]
Entry from Alexandria: a relaxed structure of HfSb2W (PBE).

Lattice parameters (Å, degrees): 3.1372 3.1372 10.4520 81.37 81.37 60.00
With the nearest neighbours (Å) after each atom.
Element x y z (fractional)
1 Sb 0.0892 0.0892 0.7324  1 W 2.75, 3 Hf 3.00
2 Sb 0.9108 0.9108 0.2676  1 W 2.75, 3 Hf 3.00
3 Hf 0.5000 0.5000 0.5000  6 Sb 3.00, 6 Hf 3.14
4 W 0.0000 0.0000 0.0000  2 Sb 2.75

Electronic total energy (eV/cell): -29.02
Distance to the lowest polymorph of the same formula (meV/atom): 396
ΔE_f (raw) (eV/atom): 0.5332



[10]
Entry from Alexandria: a relaxed structure of Hf2Sb2W (PBE).

Lattice parameters (Å, degrees): 7.2624 7.2624 3.9752 90.00 90.00 90.00
With the nearest neighbours (Å) after each atom.
Element x y z (fractional)
1 Sb 0.3505 0.8505 0.0000  2 W 2.77, 6 Hf 2.84-2.97, 1 Sb 3.07
2 Sb 0.8505 0.6495 0.0000  2 W 2.77, 6 Hf 2.84-2.97, 1 Sb 3.07
3 Sb 0.6495 0.1495 0.0000  2 W 2.77, 6 Hf 2.84-2.97, 1 Sb 3.07
4 Sb 0.1495 0.3505 0.0000  2 W 2.77, 6 Hf 2.84-2.97, 1 Sb 3.07
5 Hf 0.1535 0.6535 0.5000  6 Sb 2.84-2.97, 1 Hf 3.15
6 Hf 0.6535 0.8465 0.5000  6 Sb 2.84-2.97, 1 Hf 3.15
7 Hf 0.8465 0.3465 0.5000  6 Sb 2.84-2.97, 1 Hf 3.15
8 Hf 0.3465 0.1535 0.5000  6 Sb 2.84-2.97, 1 Hf 3.15
9 W 0.0000 0.0000 0.0000  4 Sb 2.77
10 W 0.5000 0.5000 0.0000  4 Sb 2.77

Electronic total energy (eV/cell): -81.80
ΔE_f (raw) (eV/atom): 0.0410



[11]
Entry from Alexandria: a relaxed structure of Hf8Sb2W (PBE).

Lattice parameters (Å, degrees): 3.8022 8.0450 8.3839 105.26 103.11 90.00
With the nearest neighbours (Å) after each atom.
Element x y z (fractional)
1 Hf 0.4054 0.5270 0.8109  2 Sb 3.00, 7 Hf 3.02-3.23
2 Hf 0.6747 0.9231 0.3494  3 Sb 2.98-3.16, 6 Hf 3.02-3.09, 1 W 3.08
3 Hf 0.8709 0.8210 0.7418  2 W 2.91, 5 Hf 2.94-3.20, 2 Sb 3.02
4 Hf 0.9641 0.2607 0.9282  7 Hf 2.94-3.20, 2 W 3.00, 1 Sb 3.24
5 Hf 0.1291 0.1790 0.2582  2 W 2.91, 5 Hf 2.94-3.20, 2 Sb 3.02
6 Hf 0.3253 0.0769 0.6506  3 Sb 2.98-3.16, 6 Hf 3.02-3.09, 1 W 3.08
7 Hf 0.5946 0.4730 0.1891  2 Sb 3.00, 7 Hf 3.02-3.23
8 Hf 0.0359 0.7393 0.0718  7 Hf 2.94-3.20, 2 W 3.00, 1 Sb 3.24
9 Sb 0.7754 0.3178 0.5508  8 Hf 2.98-3.24
10 Sb 0.2246 0.6822 0.4492  8 Hf 2.98-3.24
11 W 0.5000 0.0000 0.0000  10 Hf 2.91-3.08

Electronic total energy (eV/cell): -102.63
ΔE_f (raw) (eV/atom): -0.1636



[12]
Entry from Alexandria: a relaxed structure of HfZnSbW2 (PBE).

Lattice parameters (Å, degrees): 4.9691 4.6434 4.9691 90.00 90.00 90.00
With the nearest neighbours (Å) after each atom.
Element x y z (fractional)
1 Sb 0.0000 0.0000 0.0000  2 Zn 2.32, 4 W 2.48
2 Zn 0.0000 0.5000 0.0000  2 Sb 2.32
3 Hf 0.5000 0.5000 0.5000  8 W 3.40, 4 Zn 3.51
4 W 0.0000 0.0000 0.5000  2 Sb 2.48
5 W 0.5000 0.0000 0.0000  2 Sb 2.48

Electronic total energy (eV/cell): -32.05
ΔE_f (raw) (eV/atom): 1.8406



[13]
Entry from Alexandria: a relaxed structure of YHfSb2 (PBE).

Lattice parameters (Å, degrees): 5.1863 5.1863 5.1863 60.00 60.00 60.00
With the nearest neighbours (Å) after each atom.
Element x y z (fractional)
1 Y 0.0000 0.0000 0.0000  8 Sb 3.18
2 Sb 0.2500 0.2500 0.2500  4 Hf 3.18, 4 Y 3.18
3 Sb 0.7500 0.7500 0.7500  4 Y 3.18, 4 Hf 3.18
4 Hf 0.5000 0.5000 0.5000  8 Sb 3.18

Electronic total energy (eV/cell): -26.61
Distance to the lowest polymorph of the same formula (meV/atom): 230
ΔE_f (raw) (eV/atom): -0.4864



[14]
Entry from Alexandria: a relaxed structure of YHfSb2 (PBE).

Lattice parameters (Å, degrees): 4.1731 4.1731 7.6196 74.11 74.11 60.00
With the nearest neighbours (Å) after each atom.
Element x y z (fractional)
1 Y 0.4972 0.4972 0.5084  6 Sb 3.07-3.14
2 Hf 0.6699 0.6699 0.9904  6 Sb 2.88-2.96
3 Sb 0.0760 0.0760 0.7719  3 Hf 2.88, 3 Y 3.07
4 Sb 0.2569 0.2569 0.2294  3 Hf 2.96, 3 Y 3.14

Electronic total energy (eV/cell): -27.53
Distance to the lowest polymorph of the same formula (meV/atom): 0
ΔE_f (raw) (eV/atom): -0.7163



[15]
Entry from Alexandria: a relaxed structure of Y5HfSb4 (PBE).

Lattice parameters (Å, degrees): 4.2191 8.2566 9.4101 104.58 102.95 90.00
With the nearest neighbours (Å) after each atom.
Element x y z (fractional)
1 Y 0.8225 0.6463 0.6449  3 Sb 3.05
2 Y 0.8331 0.1840 0.6662  4 Sb 3.00-3.07
3 Y 0.1669 0.8160 0.3338  4 Sb 3.00-3.07
4 Y 0.5000 0.5000 0.0000  4 Sb 3.00
5 Y 0.1775 0.3537 0.3551  3 Sb 3.05
6 Hf 0.5000 0.0000 0.0000  6 Sb 2.90-2.91
7 Sb 0.3364 0.9196 0.6728  1 Hf 2.90, 5 Y 3.00-3.05
8 Sb 0.9944 0.7551 0.9888  2 Hf 2.91, 4 Y 3.00-3.07
9 Sb 0.6636 0.0804 0.3272  1 Hf 2.90, 5 Y 3.00-3.05
10 Sb 0.0056 0.2449 0.0112  2 Hf 2.91, 4 Y 3.00-3.07

Electronic total energy (eV/cell): -65.24
ΔE_f (raw) (eV/atom): -0.6475



[16]
Entry from Alexandria: a relaxed structure of Y3HfSb (PBE).

Lattice parameters (Å, degrees): 5.4903 5.4903 5.4903 90.00 90.00 90.00
With the nearest neighbours (Å) after each atom.
Element x y z (fractional)
1 Y 0.0000 0.5000 0.0000  2 Hf 2.75
2 Y 0.0000 0.0000 0.5000  2 Hf 2.75
3 Y 0.5000 0.0000 0.0000  2 Hf 2.75
4 Sb 0.5000 0.5000 0.5000  12 Y 3.88
5 Hf 0.0000 0.0000 0.0000  6 Y 2.75

Electronic total energy (eV/cell): -30.79
Distance to the lowest polymorph of the same formula (meV/atom): 114
ΔE_f (raw) (eV/atom): 0.5349



[17]
Entry from Alexandria: a relaxed structure of Y5HfSb6 (PBE).

Lattice parameters (Å, degrees): 7.5110 7.5110 7.5057 99.64 99.64 119.98
With the nearest neighbours (Å) after each atom.
Element x y z (fractional)
1 Y 0.8280 0.1720 0.5000  6 Sb 3.07-3.12
2 Y 0.6648 0.3352 0.0000  6 Sb 3.07-3.08
3 Y 0.5000 0.5000 0.5000  6 Sb 3.07-3.16
4 Y 0.3352 0.6648 0.0000  6 Sb 3.07-3.08
5 Y 0.1720 0.8280 0.5000  6 Sb 3.07-3.12
6 Sb 0.4026 0.0798 0.2417  1 Hf 2.96, 5 Y 3.07-3.12
7 Sb 0.9202 0.5974 0.7583  1 Hf 2.96, 5 Y 3.07-3.12
8 Sb 0.2386 0.2386 0.7531  1 Hf 2.98, 5 Y 3.07-3.16
9 Sb 0.7614 0.7614 0.2469  1 Hf 2.98, 5 Y 3.07-3.16
10 Sb 0.0798 0.4026 0.2417  1 Hf 2.96, 5 Y 3.07-3.12
11 Sb 0.5974 0.9202 0.7583  1 Hf 2.96, 5 Y 3.07-3.12
12 Hf 0.0000 0.0000 0.0000  6 Sb 2.96-2.98

Electronic total energy (eV/cell): -79.42
ΔE_f (raw) (eV/atom): -1.0346



[18]
Entry from Alexandria: a relaxed structure of Y2HfSb (PBE).

Lattice parameters (Å, degrees): 8.6064 8.6064 6.8134 50.83 50.83 90.00
With the nearest neighbours (Å) after each atom.
Element x y z (fractional)
1 Y 0.6029 0.1250 0.2500  2 Sb 3.01, 2 Y 3.09, 2 Hf 3.27
2 Y 0.1471 0.6250 0.2500  2 Sb 3.01, 2 Y 3.09, 2 Hf 3.27
3 Y 0.3750 0.3971 0.7500  2 Sb 3.01, 2 Y 3.09, 2 Hf 3.27
4 Y 0.8750 0.8529 0.7500  2 Sb 3.01, 2 Y 3.09, 2 Hf 3.27
5 Sb 0.5000 0.5000 0.0000  4 Y 3.01, 2 Hf 3.06
6 Sb 0.2500 0.7500 0.5000  4 Y 3.01, 2 Hf 3.06
7 Hf 0.0000 0.0000 0.0000  2 Sb 3.06, 4 Y 3.27
8 Hf 0.7500 0.2500 0.5000  2 Sb 3.06, 4 Y 3.27

Electronic total energy (eV/cell): -53.37
ΔE_f (raw) (eV/atom): 0.0801



[19]
Entry from Alexandria: a relaxed structure of YHfSb2 (PBE).

Lattice parameters (Å, degrees): 6.7624 6.7624 8.1425 65.46 65.46 90.00
With the nearest neighbours (Å) after each atom.
Element x y z (fractional)
1 Y 0.5000 0.5000 0.0000  4 Sb 3.01
2 Y 0.2500 0.7500 0.5000  4 Sb 3.01
3 Sb 0.6515 0.1250 0.2500  2 Hf 2.80, 2 Y 3.01
4 Sb 0.0985 0.6250 0.2500  2 Hf 2.80, 2 Y 3.01
5 Sb 0.3750 0.3485 0.7500  2 Hf 2.80, 2 Y 3.01
6 Sb 0.8750 0.9015 0.7500  2 Hf 2.80, 2 Y 3.01
7 Hf 0.0000 0.0000 0.0000  4 Sb 2.80
8 Hf 0.7500 0.2500 0.5000  4 Sb 2.80

Electronic total energy (eV/cell): -50.68
Distance to the lowest polymorph of the same formula (meV/atom): 547
ΔE_f (raw) (eV/atom): -0.1698



[20]
Entry from Alexandria: a relaxed structure of YHfSb2 (PBE).

Lattice parameters (Å, degrees): 3.7899 3.7899 10.1874 79.28 79.28 60.00
With the nearest neighbours (Å) after each atom.
Element x y z (fractional)
1 Y 0.0000 0.0000 0.0000  2 Sb 3.06
2 Sb 0.1026 0.1026 0.6923  3 Hf 2.91, 1 Y 3.06
3 Sb 0.8974 0.8974 0.3077  3 Hf 2.91, 1 Y 3.06
4 Hf 0.5000 0.5000 0.5000  6 Sb 2.91

Electronic total energy (eV/cell): -25.20
Distance to the lowest polymorph of the same formula (meV/atom): 581
ΔE_f (raw) (eV/atom): -0.1352